(1)
Density functional theory data (PBE) for an optimized crystal structure of Al3Cr2Fe3.

Summary:
Formation energy from the elements   -0.26 eV per atom

Unit cell a=2.8500 b=4.0192 c=8.5603 alpha=103.58 beta=99.58 gamma=90.00
Fractional coordinates of all 8 atoms:
Al (0.3772, 0.3772, 0.7545)
Al (0.5000, 0.0000, 0.0000)
Al (0.6228, 0.6228, 0.2455)
Fe (0.1294, 0.1294, 0.2588)
Fe (0.8706, 0.8706, 0.7412)
Fe (0.0000, 0.5000, 0.0000)
Cr (0.2568, 0.7568, 0.5137)
Cr (0.7432, 0.2432, 0.4863)

(2)
Density functional theory data (PBE) for an optimized crystal structure of Al5CrFe6.

Summary:
Formation energy from the elements   -0.30 eV per atom

Unit cell a=4.0303 b=5.7173 c=6.3614 alpha=90.00 beta=71.53 gamma=90.00
Fractional coordinates of all 12 atoms:
Fe (0.1629, 0.2463, 0.6742)
Fe (0.5000, 0.2429, 0.0000)
Fe (0.8371, 0.2463, 0.3258)
Fe (0.1629, 0.7537, 0.6742)
Fe (0.5000, 0.7571, 0.0000)
Fe (0.8371, 0.7537, 0.3258)
Al (0.6678, 0.0000, 0.6644)
Al (0.0000, 0.5000, 0.0000)
Al (0.3328, 0.5000, 0.3343)
Al (0.3322, 0.0000, 0.3356)
Al (0.6672, 0.5000, 0.6657)
Cr (0.0000, 0.0000, 0.0000)

(3)
Density functional theory data (PBE) for an optimized crystal structure of AlCrFe2.

Summary:
Relative energy among the computed polymorphs   151.6 meV/atom
Formation energy from the elements   -0.01 eV per atom

Unit cell a=4.8684 b=4.6836 c=2.5094 alpha=80.34 beta=78.90 gamma=117.91
Fractional coordinates of all 4 atoms:
Al (0.0000, 0.5000, 0.5000)
Fe (0.0000, 0.0000, 0.0000)
Fe (0.5000, 0.0000, 0.5000)
Cr (0.5000, 0.5000, 0.0000)

(4)
Density functional theory data (PBE) for an optimized crystal structure of AlCrFe2.

Summary:
Relative energy among the computed polymorphs   78.4 meV/atom
Formation energy from the elements   -0.09 eV per atom

Unit cell a=4.7409 b=4.7409 c=4.7409 alpha=144.80 beta=130.32 gamma=62.34
Fractional coordinates of all 4 atoms:
Cr (0.2395, 0.7395, 0.5000)
Fe (0.0051, 0.0051, 0.0000)
Fe (0.7547, 0.2547, 0.5000)
Al (0.5007, 0.5007, 0.0000)

(5)
Density functional theory data (PBE) for an optimized crystal structure of Al2CrFe.

Summary:
Formation energy from the elements   -0.12 eV per atom

Unit cell a=2.6073 b=2.6073 c=7.5891 alpha=90.00 beta=90.00 gamma=90.00
Fractional coordinates of all 4 atoms:
Al (0.0000, 0.0000, 0.5085)
Al (0.0000, 0.0000, 0.9915)
Cr (0.5000, 0.5000, 0.2500)
Fe (0.5000, 0.5000, 0.7500)

(6)
Density functional theory data (PBE) for an optimized crystal structure of AlCrFe2.

Summary:
Relative energy among the computed polymorphs   170.1 meV/atom
Formation energy from the elements   0.00 eV per atom

Unit cell a=3.7428 b=3.5966 c=3.5966 alpha=90.00 beta=90.00 gamma=90.00
Fractional coordinates of all 4 atoms:
Fe (0.0000, 0.0000, 0.0000)
Fe (0.0000, 0.5000, 0.5000)
Cr (0.5000, 0.0000, 0.5000)
Al (0.5000, 0.5000, 0.0000)

(7)
Density functional theory data (PBE) for an optimized crystal structure of Al2CrFe.

Summary:
Formation energy from the elements   0.00 eV per atom

Unit cell a=8.4128 b=8.4128 c=8.4128 alpha=18.54 beta=18.54 gamma=18.54
Fractional coordinates of all 4 atoms:
Cr (0.4934, 0.4934, 0.4934)
Fe (0.7544, 0.7544, 0.7544)
Al (0.0066, 0.0066, 0.0066)
Al (0.2455, 0.2455, 0.2455)

(8)
Density functional theory data (PBE) for an optimized crystal structure of AlCrFe2.

Summary:
Relative energy among the computed polymorphs   108.8 meV/atom
Formation energy from the elements   -0.06 eV per atom

Unit cell a=3.9105 b=2.5142 c=4.9361 alpha=77.48 beta=90.00 gamma=90.00
Fractional coordinates of all 4 atoms:
Fe (0.0000, 0.9596, 0.9976)
Fe (0.0000, 0.5404, 0.5024)
Cr (0.5000, 0.7500, 0.7500)
Al (0.5000, 0.2500, 0.2500)

(9)
Density functional theory data (PBE) for an optimized crystal structure of Al2CrFe.

Summary:
Formation energy from the elements   -0.17 eV per atom

Unit cell a=4.0584 b=4.0590 c=3.1432 alpha=90.00 beta=90.00 gamma=90.00
Fractional coordinates of all 4 atoms:
Cr (0.5000, 0.0000, 0.5000)
Al (0.5000, 0.5000, 0.0000)
Al (0.0000, 0.0000, 0.0000)
Fe (0.0000, 0.5000, 0.5000)

(10)
Density functional theory data (PBE) for an optimized crystal structure of Al2CrFe2.

Summary:
Relative energy among the computed polymorphs   0.0 meV/atom
Formation energy from the elements   -0.03 eV per atom

Unit cell a=5.7620 b=5.7620 c=3.8674 alpha=90.00 beta=90.00 gamma=90.00
Fractional coordinates of all 10 atoms:
Al (0.8255, 0.3255, 0.5000)
Al (0.3255, 0.1745, 0.5000)
Al (0.6745, 0.8255, 0.5000)
Al (0.1745, 0.6745, 0.5000)
Fe (0.6332, 0.1332, 0.0000)
Fe (0.3668, 0.8668, 0.0000)
Fe (0.8668, 0.6332, 0.0000)
Fe (0.1332, 0.3668, 0.0000)
Cr (0.0000, 0.0000, 0.0000)
Cr (0.5000, 0.5000, 0.0000)

(11)
Density functional theory data (PBE) for an optimized crystal structure of AlCrFe2.

Summary:
Relative energy among the computed polymorphs   136.1 meV/atom
Formation energy from the elements   -0.03 eV per atom

Unit cell a=2.5168 b=2.5168 c=7.8563 alpha=90.00 beta=90.00 gamma=106.53
Fractional coordinates of all 4 atoms:
Cr (0.5000, 0.5000, 0.7500)
Fe (0.0000, 0.0000, 0.5035)
Fe (0.0000, 0.0000, 0.9965)
Al (0.5000, 0.5000, 0.2500)

(12)
Density functional theory data (PBE) for an optimized crystal structure of AlCr3Fe.

Summary:
Relative energy among the computed polymorphs   0.0 meV/atom
Formation energy from the elements   0.95 eV per atom

Unit cell a=4.2310 b=4.2310 c=4.2310 alpha=90.00 beta=90.00 gamma=90.00
Fractional coordinates of all 5 atoms:
Al (0.5000, 0.5000, 0.5000)
Cr (0.5000, 0.0000, 0.0000)
Cr (0.0000, 0.0000, 0.5000)
Cr (0.0000, 0.5000, 0.0000)
Fe (0.0000, 0.0000, 0.0000)

(13)
Density functional theory data (PBE) for an optimized crystal structure of AlCr2Fe5.

Summary:
Formation energy from the elements   0.09 eV per atom

Unit cell a=2.5243 b=7.5139 c=6.1477 alpha=127.67 beta=101.85 gamma=90.00
Fractional coordinates of all 8 atoms:
Fe (0.6281, 0.8650, 0.2562)
Fe (0.3719, 0.1350, 0.7438)
Fe (0.3719, 0.6088, 0.7438)
Fe (0.0000, 0.5000, 0.0000)
Fe (0.6281, 0.3912, 0.2562)
Cr (0.2487, 0.7487, 0.4974)
Cr (0.7513, 0.2513, 0.5026)
Al (0.0000, 0.0000, 0.0000)

(14)
Density functional theory data (PBE) for an optimized crystal structure of Al2CrFe2.

Summary:
Relative energy among the computed polymorphs   71.1 meV/atom
Formation energy from the elements   0.04 eV per atom

Unit cell a=6.8530 b=6.8530 c=2.7203 alpha=90.00 beta=90.00 gamma=90.00
Fractional coordinates of all 10 atoms:
Al (0.3633, 0.8633, 0.0000)
Al (0.8633, 0.6367, 0.0000)
Al (0.6367, 0.1367, 0.0000)
Al (0.1367, 0.3633, 0.0000)
Fe (0.8391, 0.3391, 0.5000)
Fe (0.3391, 0.1609, 0.5000)
Fe (0.6609, 0.8391, 0.5000)
Fe (0.1609, 0.6609, 0.5000)
Cr (0.0000, 0.0000, 0.0000)
Cr (0.5000, 0.5000, 0.0000)

(15)
Density functional theory data (PBE) for an optimized crystal structure of AlCrFe2.

Summary:
Relative energy among the computed polymorphs   210.7 meV/atom
Formation energy from the elements   0.05 eV per atom

Unit cell a=8.2412 b=8.2412 c=8.2412 alpha=18.07 beta=18.07 gamma=18.07
Fractional coordinates of all 4 atoms:
Fe (0.0022, 0.0022, 0.0022)
Fe (0.4978, 0.4978, 0.4978)
Cr (0.7500, 0.7500, 0.7500)
Al (0.2500, 0.2500, 0.2500)

(16)
Density functional theory data (PBE) for an optimized crystal structure of AlCrFe2.

Summary:
Relative energy among the computed polymorphs   110.6 meV/atom
Formation energy from the elements   -0.06 eV per atom

Unit cell a=4.0709 b=2.5103 c=4.7284 alpha=79.47 beta=90.00 gamma=90.00
Fractional coordinates of all 4 atoms:
Cr (0.5000, 0.7889, 0.7619)
Al (0.0000, 0.5006, 0.4854)
Fe (0.0000, 0.0173, 0.9895)
Fe (0.5000, 0.1932, 0.2632)

(17)
Density functional theory data (PBE) for an optimized crystal structure of AlCrFe2.

Summary:
Relative energy among the computed polymorphs   237.1 meV/atom
Formation energy from the elements   0.07 eV per atom

Unit cell a=8.3738 b=8.3738 c=8.3738 alpha=17.88 beta=17.88 gamma=17.88
Fractional coordinates of all 4 atoms:
Al (0.5007, 0.5007, 0.5007)
Fe (0.0017, 0.0017, 0.0017)
Fe (0.2520, 0.2520, 0.2520)
Cr (0.7457, 0.7457, 0.7457)

(18)
Density functional theory data (PBE) for an optimized crystal structure of AlCr4Fe.

Summary:
Relative energy among the computed polymorphs   114.7 meV/atom
Formation energy from the elements   0.14 eV per atom

Unit cell a=4.7174 b=4.7174 c=4.7174 alpha=60.00 beta=60.00 gamma=60.00
Fractional coordinates of all 6 atoms:
Al (0.0000, 0.0000, 0.0000)
Cr (0.3748, 0.8755, 0.3748)
Cr (0.3748, 0.3748, 0.3748)
Cr (0.3748, 0.3748, 0.8755)
Cr (0.8755, 0.3748, 0.3748)
Fe (0.7500, 0.7500, 0.7500)

(19)
Density functional theory data (PBE) for an optimized crystal structure of AlCrFe2.

Summary:
Relative energy among the computed polymorphs   186.0 meV/atom
Formation energy from the elements   0.02 eV per atom

Unit cell a=2.6164 b=2.6164 c=8.1831 alpha=80.73 beta=80.73 gamma=59.95
Fractional coordinates of all 4 atoms:
Al (0.4998, 0.4998, 0.5002)
Fe (0.2521, 0.2521, 0.2447)
Fe (0.0813, 0.0813, 0.7554)
Cr (0.6668, 0.6668, 0.9996)

(20)
Density functional theory data (PBE) for an optimized crystal structure of Al2CrFe5.

Summary:
Formation energy from the elements   -0.15 eV per atom

Unit cell a=3.9916 b=3.9916 c=6.3783 alpha=108.23 beta=108.23 gamma=90.00
Fractional coordinates of all 8 atoms:
Cr (0.0000, 0.0000, 0.0000)
Al (0.2507, 0.2507, 0.5013)
Al (0.7493, 0.7493, 0.4987)
Fe (0.6195, 0.1195, 0.2390)
Fe (0.1195, 0.6195, 0.2390)
Fe (0.5000, 0.5000, 0.0000)
Fe (0.8805, 0.3805, 0.7610)
Fe (0.3805, 0.8805, 0.7610)

(21)
Density functional theory data (PBE) for an optimized crystal structure of AlCrFe2.

Summary:
Relative energy among the computed polymorphs   153.8 meV/atom
Formation energy from the elements   -0.01 eV per atom

Unit cell a=2.5238 b=2.5238 c=7.9375 alpha=90.00 beta=90.00 gamma=107.07
Fractional coordinates of all 4 atoms:
Fe (0.5000, 0.5000, 0.2459)
Fe (0.0000, 0.0000, 0.0009)
Cr (0.5000, 0.5000, 0.7573)
Al (0.0000, 0.0000, 0.4959)

(22)
Density functional theory data (PBE) for an optimized crystal structure of AlCrFe2.

Summary:
Relative energy among the computed polymorphs   68.7 meV/atom
Formation energy from the elements   -0.10 eV per atom

Unit cell a=4.6385 b=4.6385 c=4.6385 alpha=141.83 beta=128.33 gamma=66.02
Fractional coordinates of all 4 atoms:
Cr (0.2500, 0.7500, 0.5000)
Fe (0.0073, 0.0073, 0.0000)
Fe (0.4927, 0.4927, 0.0000)
Al (0.7500, 0.2500, 0.5000)

(23)
Density functional theory data (PBE) for an optimized crystal structure of AlCrFe2.

Summary:
Relative energy among the computed polymorphs   607.3 meV/atom
Formation energy from the elements   0.44 eV per atom

Unit cell a=6.4515 b=6.4515 c=5.2118 alpha=51.76 beta=51.76 gamma=90.00
Fractional coordinates of all 8 atoms:
Fe (0.0876, 0.6250, 0.2500)
Fe (0.6624, 0.1250, 0.2500)
Fe (0.8750, 0.9124, 0.7500)
Fe (0.3750, 0.3376, 0.7500)
Al (0.2500, 0.7500, 0.5000)
Al (0.5000, 0.5000, 0.0000)
Cr (0.7500, 0.2500, 0.5000)
Cr (0.0000, 0.0000, 0.0000)

(24)
Density functional theory data (PBE) for an optimized crystal structure of AlCr3Fe.

Summary:
Relative energy among the computed polymorphs   935.4 meV/atom
Formation energy from the elements   1.88 eV per atom

Unit cell a=4.2607 b=4.2607 c=4.2607 alpha=90.00 beta=90.00 gamma=90.00
Fractional coordinates of all 5 atoms:
Cr (0.0000, 0.0000, 0.5000)
Cr (0.0000, 0.5000, 0.0000)
Cr (0.5000, 0.0000, 0.0000)
Fe (0.5000, 0.5000, 0.5000)
Al (0.0000, 0.0000, 0.0000)

(25)
Density functional theory data (PBE) for an optimized crystal structure of AlCr4Fe.

Summary:
Relative energy among the computed polymorphs   0.0 meV/atom
Formation energy from the elements   0.02 eV per atom

Unit cell a=2.9374 b=2.9374 c=8.4984 alpha=90.00 beta=90.00 gamma=90.00
Fractional coordinates of all 6 atoms:
Al (0.0000, 0.0000, 0.0000)
Cr (0.5000, 0.5000, 0.1862)
Cr (0.0000, 0.0000, 0.3320)
Cr (0.5000, 0.5000, 0.8138)
Cr (0.0000, 0.0000, 0.6680)
Fe (0.5000, 0.5000, 0.5000)

(26)
Density functional theory data (PBE) for an optimized crystal structure of Al2Cr2Fe.

Summary:
Formation energy from the elements   0.22 eV per atom

Unit cell a=6.4353 b=6.4353 c=3.2218 alpha=90.00 beta=90.00 gamma=90.00
Fractional coordinates of all 10 atoms:
Cr (0.8342, 0.3342, 0.5000)
Cr (0.6658, 0.8342, 0.5000)
Cr (0.3342, 0.1658, 0.5000)
Cr (0.1658, 0.6658, 0.5000)
Fe (0.0000, 0.0000, 0.0000)
Fe (0.5000, 0.5000, 0.0000)
Al (0.3633, 0.8633, 0.0000)
Al (0.1367, 0.3633, 0.0000)
Al (0.8633, 0.6367, 0.0000)
Al (0.6367, 0.1367, 0.0000)

(27)
Density functional theory data (PBE) for an optimized crystal structure of Al2CrFe.

Summary:
Formation energy from the elements   -0.06 eV per atom

Unit cell a=4.1492 b=4.1492 c=4.1492 alpha=60.00 beta=60.00 gamma=60.00
Fractional coordinates of all 4 atoms:
Al (0.0000, 0.0000, 0.0000)
Al (0.2500, 0.2500, 0.2500)
Cr (0.5000, 0.5000, 0.5000)
Fe (0.7500, 0.7500, 0.7500)

(28)
Density functional theory data (PBE) for an optimized crystal structure of Al2CrFe.

Summary:
Formation energy from the elements   -0.03 eV per atom

Unit cell a=8.5400 b=8.5400 c=8.5400 alpha=18.07 beta=18.07 gamma=18.07
Fractional coordinates of all 4 atoms:
Cr (0.2500, 0.2500, 0.2500)
Al (0.0010, 0.0010, 0.0010)
Al (0.4990, 0.4990, 0.4990)
Fe (0.7500, 0.7500, 0.7500)